Entry from the Alexandria database: a geometry-optimized Sr2TaFe structure (PBE-GGA).

abc: 4.3276 4.3402 5.3161
angles: 90.00 90.00 90.00
With the nearest neighbours (Å) after each atom.
Fractional positions:
Fe: 0.0000 0.5000 0.5000  4 Ta 3.06, 8 Sr 3.43
Sr: 0.0000 0.0000 0.0000  4 Sr 3.06, 4 Ta 3.43, 4 Fe 3.43
Sr: 0.5000 0.5000 0.0000  4 Sr 3.06, 4 Fe 3.43, 4 Ta 3.43
Ta: 0.5000 0.0000 0.5000  4 Fe 3.06, 8 Sr 3.43

Properties
ρ = 6.85 Mg/m³
Magnetization = 0.77 μB per formula unit

Entry from the Alexandria database: a geometry-optimized Sr2TaFe structure (PBE-GGA).

abc: 9.5945 9.5945 3.7138
angles: 79.08 79.08 20.17
With the nearest neighbours (Å) after each atom.
Fractional positions:
Fe: 0.2500 0.2500 0.2500  4 Ta 2.50
Sr: 0.5988 0.5988 0.3980  2 Fe 3.27, 2 Sr 3.36, 2 Ta 3.36
Ta: 0.7500 0.7500 0.7500  4 Fe 2.50
Sr: 0.9012 0.9012 0.1020  2 Fe 3.27, 2 Sr 3.36, 2 Ta 3.36

Properties
ρ = 5.91 Mg/m³
Magnetization = 0.00 μB per formula unit

Number 1: relative energy among the computed polymorphs 0.7432 eV/atom, formation enthalpy at 0 K 4.76 eV/f.u.. Number 2: relative energy among the computed polymorphs 0.1223 eV/atom, formation enthalpy at 0 K 2.27 eV/f.u..